# 1
This record from Alexandria describes crystalline MgIr2Pb at its relaxed geometry. The functional is PBE-GGA.

Summary:
* formation energy: 99.7 meV/atom
* mass density: 14.4 g/cm3

Cell and atoms, written as CIF:
```
data_MgIr2Pb
_chemical_formula_sum 'Mg1 Ir2 Pb1'
_cell_length_a 5.357
_cell_length_b 5.357
_cell_length_c 5.017
_cell_angle_alpha 114.37
_cell_angle_beta 114.37
_cell_angle_gamma 33.09
_space_group_name_H-M_alt 'P 1'
_space_group_IT_number 1
_space_group_name_Hall 'P 1'
loop_
_atom_site_label
_atom_site_type_symbol
_atom_site_fract_x
_atom_site_fract_y
_atom_site_fract_z
Mg1 Mg 0.000 0.000 0.000
Ir1 Ir 0.248 0.248 0.895
Ir2 Ir 0.532 0.532 0.494
Pb1 Pb 0.782 0.782 0.393
```

***

# 2
This record from Alexandria describes crystalline Mg2IrPb at its relaxed geometry. The functional is PBE-GGA.

Summary:
* formation energy: -211.7 meV/atom
* mass density: 9.1 g/cm3

Cell and atoms, written as CIF:
```
data_Mg2IrPb
_chemical_formula_sum 'Mg2 Ir1 Pb1'
_cell_length_a 3.185
_cell_length_b 3.241
_cell_length_c 7.937
_cell_angle_alpha 90.00
_cell_angle_beta 90.10
_cell_angle_gamma 90.00
_space_group_name_H-M_alt 'P 1'
_space_group_IT_number 1
_space_group_name_Hall 'P 1'
loop_
_atom_site_label
_atom_site_type_symbol
_atom_site_fract_x
_atom_site_fract_y
_atom_site_fract_z
Mg1 Mg 0.001 0.000 0.186
Mg2 Mg 0.999 0.000 0.814
Ir1 Ir 0.500 0.500 0.000
Pb1 Pb 0.500 0.500 0.500
```

***

# 3
This record from Alexandria describes crystalline MgIr2Pb at its relaxed geometry. The functional is PBE-GGA.

Summary:
* formation energy: 240.3 meV/atom
* mass density: 14.2 g/cm3

Cell and atoms, written as CIF:
```
data_MgIr2Pb
_chemical_formula_sum 'Mg1 Ir2 Pb1'
_cell_length_a 2.962
_cell_length_b 4.505
_cell_length_c 5.428
_cell_angle_alpha 90.00
_cell_angle_beta 96.57
_cell_angle_gamma 90.00
_space_group_name_H-M_alt 'P 1'
_space_group_IT_number 1
_space_group_name_Hall 'P 1'
loop_
_atom_site_label
_atom_site_type_symbol
_atom_site_fract_x
_atom_site_fract_y
_atom_site_fract_z
Mg1 Mg 0.000 0.000 0.000
Ir1 Ir 0.220 0.500 0.787
Ir2 Ir 0.780 0.500 0.213
Pb1 Pb 0.500 0.000 0.500
```